V5Ge3B after structural relaxation. Source: the Alexandria database, functional PBE.

a = 7.3415 Å, b = 7.3415 Å, c = 4.9340 Å
α = 90.00°, β = 90.00°, γ = 120.00°
Element x y z (fractional)
V (0.6667, 0.3333, 0.0000)
V (0.3333, 0.6667, 0.0000)
V (0.3333, 0.6667, 0.5000)
V (0.6667, 0.3333, 0.5000)
V (0.7570, 0.7570, 0.7500)
V (0.2430, 0.0000, 0.7500)
V (0.0000, 0.2430, 0.7500)
V (0.2430, 0.2430, 0.2500)
V (0.7570, 0.0000, 0.2500)
V (0.0000, 0.7570, 0.2500)
Ge (0.3994, 0.3994, 0.7500)
Ge (0.6006, 0.0000, 0.7500)
Ge (0.0000, 0.6006, 0.7500)
Ge (0.6006, 0.6006, 0.2500)
Ge (0.3994, 0.0000, 0.2500)
Ge (0.0000, 0.3994, 0.2500)
B (0.0000, 0.0000, 0.0000)
B (0.0000, 0.0000, 0.5000)

Energy ... -140.6 eV/cell
Calculated volume ... 12.79 Å³/atom
Energy relative to the elements ... -464 meV per atom
Crystal system ... hexagonal
Symmetry ... P6_3/mcm, No. 193


LiTaPbBr2 after structural relaxation. Source: the Alexandria database, functional PBE.

a = 4.9725 Å, b = 5.9831 Å, c = 4.9725 Å
α = 90.00°, β = 90.00°, γ = 90.00°
Element x y z (fractional)
Pb (0.5000, 0.5000, 0.5000)
Li (0.0000, 0.5000, 0.0000)
Br (0.0000, 0.0000, 0.5000)
Br (0.5000, 0.0000, 0.0000)
Ta (0.0000, 0.0000, 0.0000)

Energy ... -18.8 eV/cell
Calculated volume ... 29.59 Å³/atom
Crystal system ... tetragonal
Uncorrected formation energy ... 39 kJ per mole of atoms
Symmetry ... P4/mmm, No. 123


CsPu2TiO8 after structural relaxation. Source: the Alexandria database, functional PBE.

a = 6.0956 Å, b = 6.0956 Å, c = 8.1054 Å
α = 90.00°, β = 90.00°, γ = 120.00°
Last column: magnetic moment on the atom in μB.
Element x y z (fractional)
Cs (0.0000, 0.0000, 0.5000)  0.00
Pu (0.3333, 0.6667, 0.7729)  3.07
Pu (0.6667, 0.3333, 0.2271)  3.07
Ti (0.0000, 0.0000, 0.0000)  0.05
O (0.1523, 0.3047, 0.8583)  -0.12
O (0.1523, 0.8477, 0.8583)  -0.12
O (0.6953, 0.8477, 0.8583)  -0.12
O (0.3047, 0.1523, 0.1417)  -0.12
O (0.6667, 0.3333, 0.4593)  -0.22
O (0.3333, 0.6667, 0.5407)  -0.22
O (0.8477, 0.6953, 0.1417)  -0.12
O (0.8477, 0.1523, 0.1417)  -0.12

Energy ... -104.1 eV/cell
Calculated volume ... 21.74 Å³/atom
Crystal system ... trigonal
Uncorrected formation energy ... -217 kJ per mole of atoms
Symmetry ... P-3m1, No. 164


YAs after structural relaxation. Source: the Alexandria database, functional PBE.

a = 7.0100 Å, b = 7.0100 Å, c = 7.0100 Å
α = 36.59°, β = 36.59°, γ = 36.59°
Element x y z (fractional)
Y (0.0900, 0.0900, 0.0900)
Y (0.9100, 0.9100, 0.9100)
As (0.3349, 0.3349, 0.3349)
As (0.6651, 0.6651, 0.6651)

Energy ... -24.0 eV/cell
Calculated volume ... 27.40 Å³/atom
Energy relative to the elements ... -434 meV per atom
Crystal system ... trigonal
Symmetry ... R-3m, No. 166


SnTeF after structural relaxation. Source: the Alexandria database, functional PBE.

a = 4.4233 Å, b = 5.9367 Å, c = 11.7741 Å
α = 90.00°, β = 90.00°, γ = 90.00°
Element x y z (fractional)
Te (0.7500, 0.3892, 0.2736)
Te (0.7500, 0.8892, 0.2264)
Te (0.2500, 0.1108, 0.7736)
Te (0.2500, 0.6108, 0.7264)
Sn (0.2500, 0.7858, 0.4151)
Sn (0.7500, 0.2142, 0.5849)
Sn (0.7500, 0.7142, 0.9151)
Sn (0.2500, 0.2858, 0.0849)
F (0.7500, 0.8696, 0.5253)
F (0.7500, 0.3696, 0.9747)
F (0.2500, 0.6304, 0.0253)
F (0.2500, 0.1304, 0.4747)

Energy ... -49.6 eV/cell
Calculated volume ... 25.77 Å³/atom
Offset from the most stable computed form ... 0 meV per atom
Crystal system ... orthorhombic
Uncorrected formation energy ... -109 kJ per mole of atoms
Symmetry ... Pnma, No. 62


NbNiGe after structural relaxation. Source: the Alexandria database, functional PBE.

a = 3.6897 Å, b = 9.2919 Å, c = 5.1101 Å
α = 90.00°, β = 90.00°, γ = 90.00°
Element x y z (fractional)
Nb (0.0000, 0.2911, 0.2500)
Nb (0.0000, 0.7089, 0.7500)
Nb (0.5000, 0.7911, 0.2500)
Nb (0.5000, 0.2089, 0.7500)
Ni (0.0000, 0.0000, 0.0000)
Ni (0.0000, 0.0000, 0.5000)
Ni (0.5000, 0.5000, 0.0000)
Ni (0.5000, 0.5000, 0.5000)
Ge (0.0000, 0.5904, 0.2500)
Ge (0.0000, 0.4096, 0.7500)
Ge (0.5000, 0.0904, 0.2500)
Ge (0.5000, 0.9096, 0.7500)

Energy ... -86.8 eV/cell
Calculated volume ... 14.60 Å³/atom
Energy relative to the elements ... -414 meV per atom
Crystal system ... orthorhombic
Symmetry ... Cmcm, No. 63


LaY2Ho4 after structural relaxation. Source: the Alexandria database, functional PBE.

a = 7.1411 Å, b = 7.9891 Å, c = 8.7463 Å
α = 111.40°, β = 89.97°, γ = 102.92°
Element x y z (fractional)
La (0.2677, 0.6944, 0.4631)
La (0.8394, 0.9810, 0.8949)
Y (0.7669, 0.6943, 0.4628)
Y (0.1269, 0.1306, 0.6076)
Y (0.6965, 0.4124, 0.0357)
Y (0.5532, 0.8408, 0.1789)
Ho (0.6255, 0.1292, 0.6064)
Ho (0.4811, 0.5510, 0.7505)
Ho (0.4100, 0.2653, 0.3194)
Ho (0.9104, 0.2667, 0.3213)
Ho (0.9813, 0.5499, 0.7506)
Ho (0.0546, 0.8396, 0.1779)
Ho (0.1969, 0.4115, 0.0368)
Ho (0.3396, 0.9833, 0.8940)

Energy ... -71.9 eV/cell
Calculated volume ... 32.21 Å³/atom
Offset from the most stable computed form ... 0 meV per atom
Energy relative to the elements ... 28 meV per atom
Crystal system ... triclinic
Symmetry ... P1, No. 1


Fe3CuAs2 after structural relaxation. Source: the Alexandria database, functional PBE.

a = 3.6544 Å, b = 3.6544 Å, c = 6.0556 Å
α = 90.00°, β = 90.00°, γ = 90.00°
Last column: magnetic moment on the atom in μB.
Element x y z (fractional)
Fe (0.5000, 0.0000, 0.3161)  2.43
Fe (0.0000, 0.5000, 0.6839)  2.43
Fe (0.0000, 0.0000, 0.0000)  2.10
Cu (0.5000, 0.5000, 0.0000)  0.07
As (0.5000, 0.0000, 0.7144)  -0.03
As (0.0000, 0.5000, 0.2856)  -0.03

Energy ... -38.5 eV/cell
Calculated volume ... 13.48 Å³/atom
Energy relative to the elements ... 48 meV per atom
Crystal system ... tetragonal
Symmetry ... P-4m2, No. 115


PbNCl2 after structural relaxation. Source: the Alexandria database, functional PBE.

a = 8.6529 Å, b = 8.6529 Å, c = 8.6529 Å
α = 24.16°, β = 24.16°, γ = 24.16°
Last column: magnetic moment on the atom in μB.
Element x y z (fractional)
Pb (0.0000, 0.0000, 0.0000)  0.01
N (0.5000, 0.5000, 0.5000)  1.31
Cl (0.8918, 0.8918, 0.8918)  0.04
Cl (0.1082, 0.1082, 0.1082)  0.04

Energy ... -11.3 eV/cell
Calculated volume ... 23.84 Å³/atom
Offset from the most stable computed form ... 676 meV per atom
Crystal system ... trigonal
Uncorrected formation energy ... 107 kJ per mole of atoms
Symmetry ... R-3m, No. 166


UCuBr2 after structural relaxation. Source: the Alexandria database, functional PBE.

a = 3.5608 Å, b = 3.5608 Å, c = 9.1761 Å
α = 78.81°, β = 78.81°, γ = 60.00°
Last column: magnetic moment on the atom in μB.
Element x y z (fractional)
U (0.0000, 0.0000, 0.0000)  2.90
Cu (0.5000, 0.5000, 0.5000)  -0.02
Br (0.1066, 0.1066, 0.6802)  -0.02
Br (0.8934, 0.8934, 0.3198)  -0.02

Energy ... -18.8 eV/cell
Calculated volume ... 24.55 Å³/atom
Crystal system ... trigonal
Uncorrected formation energy ... -2 kJ per mole of atoms
Symmetry ... R-3m, No. 166


CeSmZr after structural relaxation. Source: the Alexandria database, functional PBE.

a = 3.3874 Å, b = 3.3874 Å, c = 8.3496 Å
α = 90.00°, β = 90.00°, γ = 120.00°
Element x y z (fractional)
Zr (0.6667, 0.3333, 0.3399)
Ce (0.3333, 0.6667, 0.6539)
Sm (0.0000, 0.0000, 0.0062)

Energy ... -18.8 eV/cell
Calculated volume ... 27.66 Å³/atom
Energy relative to the elements ... 127 meV per atom
Crystal system ... trigonal
Symmetry ... P3m1, No. 156


ZrZnTe2 after structural relaxation. Source: the Alexandria database, functional PBE.

a = 10.1173 Å, b = 10.1173 Å, c = 10.1173 Å
α = 22.49°, β = 22.49°, γ = 22.49°
Element x y z (fractional)
Zn (0.0000, 0.0000, 0.0000)
Te (0.8946, 0.8946, 0.8946)
Te (0.1054, 0.1054, 0.1054)
Zr (0.5000, 0.5000, 0.5000)

Energy ... -17.8 eV/cell
Calculated volume ... 33.23 Å³/atom
Crystal system ... trigonal
Uncorrected formation energy ... -42 kJ per mole of atoms
Symmetry ... R-3m, No. 166


Which formula does entry 6 have?
NbNiGe


calculated volume of number 9 (PbNCl2)?
23.84 Å³/atom


Repeat the twelfth record exactly.
ZrZnTe2 after structural relaxation. Source: the Alexandria database, functional PBE.

a = 10.1173 Å, b = 10.1173 Å, c = 10.1173 Å
α = 22.49°, β = 22.49°, γ = 22.49°
Element x y z (fractional)
Zn (0.0000, 0.0000, 0.0000)
Te (0.8946, 0.8946, 0.8946)
Te (0.1054, 0.1054, 0.1054)
Zr (0.5000, 0.5000, 0.5000)

Energy ... -17.8 eV/cell
Calculated volume ... 33.23 Å³/atom
Crystal system ... trigonal
Uncorrected formation energy ... -42 kJ per mole of atoms
Symmetry ... R-3m, No. 166